A relaxed Sr2CuAsO crystal, computed with PBE.

As for the volume: 108.4 Å³/f.u. The calculated total energy comes out at -4.870 eV/atom. The magnetic moment is 0.00 μB/f.u. As for the crystal system: monoclinic. The calculation puts the formation energy from raw total energies at -1456 meV per atom.

The space group is P2_1/m (No. 11) and the conventional cell measures 6.692, 4.076 and 8.358 Å, with angles of 90.00, 107.98 and 90.00 degrees. The asymmetric unit holds Sr at (0.199, 0.250, 0.384), Sr at (0.220, 0.250, 0.970), Cu at (0.476, 0.750, 0.251), As at (0.324, 0.750, 0.702) and O at (0.158, 0.750, 0.166).